## LiGdZrSn (PBE-GGA)

Data for crystalline LiGdZrSn at its relaxed geometry.

Magnetic moment (μB/atom): 1.846
E (eV for the cell shown): -29.6

abc: 5.076 5.076 5.076
angles: 60.00 60.00 60.00
Element x y z (fractional)
Li: 0.750 0.750 0.750
Sn: 0.250 0.250 0.250
Zr: 0.000 0.000 0.000
Gd: 0.500 0.500 0.500



## SrLi4Gd (PBE-GGA)

Data for crystalline SrLi4Gd at its relaxed geometry.

Magnetic moment (μB/atom): 1.455
E (eV for the cell shown): -22.8

abc: 6.188 6.188 6.188
angles: 60.00 60.00 60.00
Element x y z (fractional)
Li: 0.626 0.626 0.626
Li: 0.626 0.626 0.121
Li: 0.626 0.121 0.626
Li: 0.121 0.626 0.626
Gd: 0.000 0.000 0.000
Sr: 0.250 0.250 0.250



## SrLiGdZn (PBE-GGA)

Data for crystalline SrLiGdZn at its relaxed geometry.

Magnetic moment (μB/atom): 1.840
E (eV for the cell shown): -19.0

abc: 5.396 5.396 5.396
angles: 60.00 60.00 60.00
Element x y z (fractional)
Zn: 0.000 0.000 0.000
Sr: 0.250 0.250 0.250
Li: 0.500 0.500 0.500
Gd: 0.750 0.750 0.750



## Li4TbGd (PBE-GGA)

Data for crystalline Li4TbGd at its relaxed geometry.

Magnetic moment (μB/atom): 1.219
E (eV for the cell shown): -25.7

abc: 5.862 5.862 5.862
angles: 60.00 60.00 60.00
Element x y z (fractional)
Li: 0.625 0.125 0.625
Li: 0.125 0.625 0.625
Li: 0.625 0.625 0.625
Gd: 0.000 0.000 0.000
Tb: 0.250 0.250 0.250
Li: 0.625 0.625 0.125



Q: Which formula does entry 2 have?
A: SrLi4Gd



Q: What is the formula in the third record?
A: SrLiGdZn



Q: Which value of magnetic moment does entry 2 give?
A: 1.455 μB/atom